! Tl4Se, relaxed, DFT PBEsol; values from VASP
&SYSTEM
  ibrav = 0, nat = 5, ntyp = 2
/
ATOMIC_SPECIES
Tl 204.38 Tl.upf
Se 78.96 Se.upf
CELL_PARAMETERS angstrom
-0.7058 -0.1356 -3.9009
-3.7050 -4.8379 -1.1782
-5.0705 3.3663 -1.2162
ATOMIC_POSITIONS crystal
Tl 0.5879 0.1909 0.6332
Tl 0.7788 0.6332 0.8091
Tl 0.4121 0.8091 0.3668
Tl 0.2212 0.3668 0.1909
Se 0.0000 0.0000 0.0000
! ΔE_f (raw)	-0.151	eV/atom
! SG	I4/m